NaVGa2O6 GGA+U optimized geometry; energy = -6.3197 eV per atom; symmetry = No. 15; magnetic moment = 0.00 μB per atom
1.0
-5.1178 -0.5273 -2.9560
-2.5271 -6.5740 1.6908
-4.7016 4.2322 3.5279
O Na Ga V
12 2 4 2
Direct
0.9758 0.3614 0.8282
0.0284 0.6782 0.5589
0.6995 0.7759 0.9576
0.8005 0.0424 0.2241
0.0242 0.6386 0.1718
0.5242 0.1718 0.6386
0.4758 0.8282 0.3614
0.4716 0.4411 0.3218
0.5284 0.5589 0.6782
0.1995 0.9576 0.7759
0.3005 0.2241 0.0424
0.9716 0.3218 0.4411
0.2500 0.8969 0.1031
0.7500 0.1031 0.8969
0.1655 0.4441 0.2933
0.3345 0.7067 0.5559
0.8345 0.5559 0.7067
0.6655 0.2933 0.4441
0.2500 0.1871 0.8129
0.7500 0.8129 0.1871